SmThTcRu: optimized geometry, PBE-GGA.

Cell: 4.970 4.970 4.970 Å, 60.00 60.00 60.00°
Positions (direct):
Ru: 0.750 0.750 0.750
Sm: 0.000 0.000 0.000
Th: 0.500 0.500 0.500
Tc: 0.250 0.250 0.250

Computed properties:
For the formation energy, the calculation gives -0.119 eV/atom. As for the space group: F-43m. As for the spin magnetization: 0.0 μB per cell.

SmUTcRu: optimized geometry, PBE-GGA.

Cell: 4.841 4.841 4.841 Å, 60.00 60.00 60.00°
Each line ends with the local moment (μB).
Positions (direct):
Ru: 0.750 0.750 0.750  -0.15
U: 0.500 0.500 0.500  1.56
Tc: 0.250 0.250 0.250  -0.22
Sm: 0.000 0.000 0.000  0.05

Computed properties:
For the formation energy, the calculation gives 0.036 eV/atom. As for the space group: F-43m. As for the spin magnetization: 1.4 μB per cell.

Sm3TeRu: optimized geometry, PBE-GGA.

Cell: 4.215 8.362 8.582 Å, 106.73 90.00 90.00°
Positions (direct):
Sm: 0.750 0.682 0.408
Sm: 0.250 0.318 0.592
Sm: 0.750 0.318 0.933
Sm: 0.250 0.938 0.734
Sm: 0.250 0.682 0.067
Sm: 0.750 0.062 0.266
Te: 0.250 0.372 0.231
Te: 0.750 0.628 0.769
Ru: 0.250 0.909 0.385
Ru: 0.750 0.091 0.615

Computed properties:
For the uncorrected formation energy, the calculation gives -668 meV/atom. As for the space group: P2_1/m. As for the spin magnetization: 0.0 μB per cell.

Sm4Te2Ru: optimized geometry, PBE-GGA.

Cell: 4.213 7.076 8.455 Å, 114.85 104.43 90.00°
Positions (direct):
Sm: 0.895 0.217 0.790
Sm: 0.105 0.783 0.210
Sm: 0.608 0.258 0.217
Sm: 0.392 0.742 0.783
Te: 0.740 0.746 0.480
Te: 0.260 0.254 0.520
Ru: 0.000 0.000 0.000

Computed properties:
For the uncorrected formation energy, the calculation gives -787 meV/atom. As for the space group: C2/m. As for the spin magnetization: 0.0 μB per cell.

Sm5Te4Ru: optimized geometry, PBE-GGA.

Cell: 6.298 7.656 7.656 Å, 80.26 65.71 65.71°
Positions (direct):
Sm: 0.910 0.350 0.832
Sm: 0.260 0.832 0.650
Sm: 0.742 0.168 0.350
Sm: 0.092 0.650 0.168
Sm: 0.501 0.000 0.000
Te: 0.411 0.399 0.782
Te: 0.810 0.782 0.601
Te: 0.192 0.218 0.399
Te: 0.591 0.601 0.218
Ru: 0.001 0.000 0.000

Computed properties:
For the uncorrected formation energy, the calculation gives -1149 meV/atom. As for the space group: I4/m. As for the spin magnetization: 0.0 μB per cell.

Sm4Te3Ru: optimized geometry, PBE-GGA.

Cell: 4.282 7.715 7.715 Å, 108.14 90.00 90.00°
Positions (direct):
Ru: 0.500 0.000 0.000
Te: 0.000 0.000 0.500
Te: 0.500 0.500 0.500
Te: 0.000 0.500 0.000
Sm: 0.000 0.220 0.220
Sm: 0.500 0.781 0.219
Sm: 0.000 0.780 0.780
Sm: 0.500 0.219 0.781

Computed properties:
For the uncorrected formation energy, the calculation gives -1072 meV/atom. As for the space group: Cmmm. As for the spin magnetization: 0.0 μB per cell.